Computed, not measured: crystalline PaVHgO6 at its relaxed geometry at the PBE+U level of DFT.

Computed properties:
Crystal system   trigonal
VASP energy   -7.31 eV per atom

Cell lengths 5.514, 5.514, 9.536 Å; angles 90.00, 90.00, 120.00 degrees
Atoms (fractional coordinates):
Pa1 0.333 0.667 0.250
Pa2 0.667 0.333 0.750
V1 0.667 0.333 0.250
V2 0.333 0.667 0.750
Hg1 0.000 0.000 0.000
Hg2 0.000 0.000 0.500
O1 0.650 0.615 0.140
O2 0.965 0.350 0.140
O3 0.350 0.965 0.640
O4 0.035 0.650 0.860
O5 0.385 0.350 0.360
O6 0.965 0.615 0.360
O7 0.615 0.965 0.860
O8 0.650 0.035 0.360
O9 0.035 0.385 0.640
O10 0.385 0.035 0.140
O11 0.615 0.650 0.640
O12 0.350 0.385 0.860